Crystalline PuSi at its relaxed geometry. Source: Alexandria via LeMat-Bulk, functional PBE.

Total moment, μB/cell: 4.83
Uncorrected formation energy, meV per atom: 20.1

CIF file:
```
data_PuSi
_cell_length_a 4.0918
_cell_length_b 4.0918
_cell_length_c 4.0918
_cell_angle_alpha 60.00
_cell_angle_beta 60.00
_cell_angle_gamma 60.00
_symmetry_space_group_name_H-M 'P 1'
_symmetry_Int_Tables_number 1
loop_
_symmetry_equiv_pos_as_xyz
'x,y,z'
loop_
_atom_site_label
_atom_site_type_symbol
_atom_site_fract_x
_atom_site_fract_y
_atom_site_fract_z
_atom_site_occupancy
Pu1 Pu 0.0000 0.0000 0.0000 1
Si1 Si 0.5000 0.5000 0.5000 1
```


Crystalline PuSi5 at its relaxed geometry. Source: Alexandria via LeMat-Bulk, functional PBE.

Total moment, μB/cell: 4.70
Uncorrected formation energy, meV per atom: 49.4

CIF file:
```
data_PuSi5
_cell_length_a 6.6220
_cell_length_b 6.6220
_cell_length_c 3.6287
_cell_angle_alpha 90.00
_cell_angle_beta 90.00
_cell_angle_gamma 142.76
_symmetry_space_group_name_H-M 'P 1'
_symmetry_Int_Tables_number 1
loop_
_symmetry_equiv_pos_as_xyz
'x,y,z'
loop_
_atom_site_label
_atom_site_type_symbol
_atom_site_fract_x
_atom_site_fract_y
_atom_site_fract_z
_atom_site_occupancy
Pu1 Pu 0.0000 0.0000 0.0000 1
Si1 Si 0.1870 0.8130 0.5000 1
Si2 Si 0.3421 0.6579 0.0000 1
Si3 Si 0.5000 0.5000 0.5000 1
Si4 Si 0.6579 0.3421 0.0000 1
Si5 Si 0.8130 0.1870 0.5000 1
```


Crystalline PuSi3 at its relaxed geometry. Source: Alexandria via LeMat-Bulk, functional PBE.

Total moment, μB/cell: 5.39
Uncorrected formation energy, meV per atom: 159.2

CIF file:
```
data_PuSi3
_cell_length_a 5.8973
_cell_length_b 5.8973
_cell_length_c 5.8973
_cell_angle_alpha 141.10
_cell_angle_beta 141.10
_cell_angle_gamma 56.18
_symmetry_space_group_name_H-M 'P 1'
_symmetry_Int_Tables_number 1
loop_
_symmetry_equiv_pos_as_xyz
'x,y,z'
loop_
_atom_site_label
_atom_site_type_symbol
_atom_site_fract_x
_atom_site_fract_y
_atom_site_fract_z
_atom_site_occupancy
Pu1 Pu 0.0000 0.0000 0.0000 1
Si1 Si 0.2806 0.2806 0.0000 1
Si2 Si 0.5000 0.5000 0.0000 1
Si3 Si 0.7194 0.7194 0.0000 1
```


Crystalline Pu3Si at its relaxed geometry. Source: Alexandria via LeMat-Bulk, functional PBE.

Relative energy among the computed polymorphs, meV per atom: 92
Total moment, μB/cell: 16.95
Uncorrected formation energy, meV per atom: -164.2

CIF file:
```
data_Pu3Si
_cell_length_a 4.5035
_cell_length_b 4.5035
_cell_length_c 4.5035
_cell_angle_alpha 90.00
_cell_angle_beta 90.00
_cell_angle_gamma 90.00
_symmetry_space_group_name_H-M 'P 1'
_symmetry_Int_Tables_number 1
loop_
_symmetry_equiv_pos_as_xyz
'x,y,z'
loop_
_atom_site_label
_atom_site_type_symbol
_atom_site_fract_x
_atom_site_fract_y
_atom_site_fract_z
_atom_site_occupancy
Pu1 Pu 0.0000 0.0000 0.5000 1
Pu2 Pu 0.0000 0.5000 0.0000 1
Pu3 Pu 0.5000 0.0000 0.0000 1
Si1 Si 0.5000 0.5000 0.5000 1
```


Crystalline Pu3Si2 at its relaxed geometry. Source: Alexandria via LeMat-Bulk, functional PBE.

Total moment, μB/cell: 33.97
Uncorrected formation energy, meV per atom: -330.2

CIF file:
```
data_Pu3Si2
_cell_length_a 7.4410
_cell_length_b 7.4410
_cell_length_c 4.1047
_cell_angle_alpha 90.00
_cell_angle_beta 90.00
_cell_angle_gamma 90.00
_symmetry_space_group_name_H-M 'P 1'
_symmetry_Int_Tables_number 1
loop_
_symmetry_equiv_pos_as_xyz
'x,y,z'
loop_
_atom_site_label
_atom_site_type_symbol
_atom_site_fract_x
_atom_site_fract_y
_atom_site_fract_z
_atom_site_occupancy
Pu1 Pu 0.0000 0.0000 0.0000 1
Pu2 Pu 0.1781 0.3219 0.5000 1
Pu3 Pu 0.3219 0.8219 0.5000 1
Pu4 Pu 0.5000 0.5000 0.0000 1
Pu5 Pu 0.6781 0.1781 0.5000 1
Pu6 Pu 0.8219 0.6781 0.5000 1
Si1 Si 0.1139 0.6139 0.0000 1
Si2 Si 0.3861 0.1139 0.0000 1
Si3 Si 0.6139 0.8861 0.0000 1
Si4 Si 0.8861 0.3861 0.0000 1
```


Crystalline Pu3Si at its relaxed geometry. Source: Alexandria via LeMat-Bulk, functional PBE.

Relative energy among the computed polymorphs, meV per atom: 0
Total moment, μB/cell: 4.96
Uncorrected formation energy, meV per atom: -256.2

CIF file:
```
data_Pu3Si
_cell_length_a 5.2497
_cell_length_b 5.2497
_cell_length_c 5.2497
_cell_angle_alpha 131.41
_cell_angle_beta 131.41
_cell_angle_gamma 71.16
_symmetry_space_group_name_H-M 'P 1'
_symmetry_Int_Tables_number 1
loop_
_symmetry_equiv_pos_as_xyz
'x,y,z'
loop_
_atom_site_label
_atom_site_type_symbol
_atom_site_fract_x
_atom_site_fract_y
_atom_site_fract_z
_atom_site_occupancy
Pu1 Pu 0.0000 0.0000 0.0000 1
Pu2 Pu 0.2500 0.7500 0.5000 1
Pu3 Pu 0.7500 0.2500 0.5000 1
Si1 Si 0.5000 0.5000 0.0000 1
```


Which formula does entry 3 have?
PuSi3


Which formula does entry 6 have?
Pu3Si


The highest uncorrected formation energy belongs to which entry?
PuSi3